Ho3ScHg2 after structural relaxation. Source: the Alexandria database, functional PBE.

Computed properties:
As for the uncorrected energy: -3.790 eV per atom. Its space group is Pmc2_1 (26). For the energy of formation from the pure elements, the calculation gives -0.35 eV per atom. The density comes out at 9.95 g cm⁻³.

Lattice parameters (Å, degrees): 5.0899 9.1316 6.7595 90.00 90.00 90.00
Fractional positions:
1 Ho 0.0000 0.0487 0.0000
2 Ho 0.0000 0.3322 0.3339
3 Ho 0.0000 0.6678 0.8339
4 Ho 0.0000 0.9513 0.5000
5 Ho 0.5000 0.1803 0.6911
6 Ho 0.5000 0.8197 0.1911
7 Sc 0.5000 0.4506 0.0297
8 Sc 0.5000 0.5494 0.5297
9 Hg 0.0000 0.3482 0.7862
10 Hg 0.0000 0.6518 0.2862
11 Hg 0.5000 0.1539 0.2421
12 Hg 0.5000 0.8461 0.7421